Entry 1:
VASP calculation (PBE) on an optimized crystal structure of Pm6MgTl.

Output
Calculated total energy ... -4.1718 eV per atom
Symmetry ... No. 139
Energy relative to the lowest polymorph listed for this composition ... 0 meV per atom

Geometry as POSCAR:
```
Pm6MgTl
1.0
-2.5779 2.5779 9.5276
2.5779 -2.5779 9.5276
2.5779 2.5779 -9.5276
Pm Mg Tl
6 1 1
Cartesian
2.5779 0.0000 2.1862 Pm
0.0000 0.0000 4.7310 Pm
2.5779 0.0000 7.3414 Pm
0.0000 2.5779 2.1862 Pm
0.0000 0.0000 14.3241 Pm
0.0000 2.5779 7.3414 Pm
0.0000 0.0000 0.0000 Mg
0.0000 0.0000 9.5276 Tl
```

***

Entry 2:
VASP calculation (PBE) on an optimized crystal structure of KZrCd4.

Output
Calculated total energy ... -2.0332 eV per atom
Symmetry ... No. 216

Geometry as POSCAR:
```
KZrCd4
1.0
0.0000 4.1963 4.1963
4.1963 0.0000 4.1963
4.1963 4.1963 0.0000
K Zr Cd
1 1 4
Cartesian
0.0000 0.0000 0.0000 K
6.2945 6.2945 6.2945 Zr
3.1581 3.1581 3.1581 Cd
5.2346 5.2346 3.1581 Cd
5.2346 3.1581 5.2346 Cd
3.1581 5.2346 5.2346 Cd
```

***

Entry 3:
VASP calculation (PBE) on an optimized crystal structure of Zn2InCl.

Output
Calculated total energy ... -1.8677 eV per atom
Symmetry ... No. 65
Energy relative to the lowest polymorph listed for this composition ... 116 meV per atom
Formation energy without anion corrections ... -84 meV per atom

Geometry as POSCAR:
```
Zn2InCl
1.0
1.8902 -3.0156 0.0000
1.8902 3.0156 0.0000
0.0000 0.0000 8.0256
Zn In Cl
2 1 1
Cartesian
0.0000 0.0000 1.9289 Zn
0.0000 0.0000 6.0967 Zn
1.8902 0.0000 4.0128 In
1.8902 0.0000 0.0000 Cl
```

***

Entry 4:
VASP calculation (PBE) on an optimized crystal structure of LiLaNdRe.

Output
Calculated total energy ... -5.8451 eV per atom
Symmetry ... No. 216

Geometry as POSCAR:
```
LiLaNdRe
1.0
0.0000 3.6041 3.6041
3.6041 0.0000 3.6041
3.6041 3.6041 0.0000
Li La Nd Re
1 1 1 1
Cartesian
0.0000 0.0000 0.0000 Li
1.8021 1.8021 1.8021 La
5.4062 5.4062 5.4062 Nd
3.6041 3.6041 3.6041 Re
```

***

Q: calculated total energy of number 3 (Zn2InCl)?
A: -1.8677 eV per atom

***

Q: Number 1 is which compound?
A: Pm6MgTl

***

Q: Among the records above, which one has the highest calculated total energy?
A: Zn2InCl

***

Q: Which of these has the highest calculated total energy?
A: Zn2InCl